Density functional theory data (GGA-PBE) for a geometry-optimized SnPbBr4 structure.

Total moment = 0.00 Bohr magnetons per cell
Uncorrected formation energy = -835 meV/atom
V = 39.17 Å³ per atom

Cell lengths 8.185, 8.185, 7.670 Å; angles 117.69, 117.69, 31.48 degrees
Sites, in units of the cell vectors:
1 Sn 0.000 0.000 0.000
2 Pb 0.500 0.500 0.500
3 Br 0.121 0.121 0.450
4 Br 0.380 0.380 0.043
5 Br 0.620 0.620 0.957
6 Br 0.879 0.879 0.550